Entry 1:
The following is a PBE calculation of a geometry-optimized Zn2CdSi structure, from Alexandria.

The space-group type is Cmmm. The value obtained for the uncorrected formation energy is 234 meV/atom.

a = 3.0086 Å, b = 3.0086 Å, c = 7.6963 Å
α = 90.00°, β = 90.00°, γ = 90.17°
Last column: nearest neighbours and their distance in Å.
Sites, in units of the cell vectors:
Zn1 0.0000 0.0000 0.2211  4 Si 2.72-2.73, 4 Zn 3.01, 4 Cd 3.02
Zn2 0.0000 0.0000 0.7789  4 Si 2.72-2.73, 4 Zn 3.01, 4 Cd 3.02
Cd1 0.5000 0.5000 0.5000  4 Cd 3.01, 8 Zn 3.02
Si1 0.5000 0.5000 0.0000  8 Zn 2.72-2.73, 4 Si 3.01

***

Entry 2:
The following is a PBE calculation of a geometry-optimized ZnCdSi2 structure, from Alexandria.

The space-group type is Cmmm. The value obtained for the uncorrected formation energy is 407 meV/atom.

a = 2.8521 Å, b = 2.8521 Å, c = 10.5685 Å
α = 90.00°, β = 90.00°, γ = 123.32°
Last column: nearest neighbours and their distance in Å.
Sites, in units of the cell vectors:
Zn1 0.0000 0.0000 0.0000  4 Si 2.70, 6 Zn 2.71-2.85
Cd1 0.0000 0.0000 0.5000  6 Cd 2.71-2.85
Si1 0.5000 0.5000 0.2215  2 Zn 2.70, 6 Si 2.71-2.85
Si2 0.5000 0.5000 0.7785  2 Zn 2.70, 6 Si 2.71-2.85

***

no.,total magnetic moment (μB per formula unit),energy above the most stable polymorph in this dataset (eV/atom)
1,0.00,0.021
2,0.00,0.135